First-principles (GGA-PBE) data for crystalline CdAsBr2 at its relaxed geometry, as listed in the Alexandria database.

Results
For the total DFT energy (no corrections), the calculation gives -2.51 eV/atom. The relative energy among the computed polymorphs comes out at 0.000 eV per atom. Its formation energy without anion corrections is -1.12 eV/f.u. For the density of states at the Fermi level, the calculation gives 2.2 states/eV per cell. The space-group type is No. 38. For the magnetization, the calculation gives 0.000 μB/f.u.

abc: 4.731 7.026 7.026
angles: 37.67 90.00 90.00
Sites, in units of the cell vectors:
Cd 0.000 0.000 0.000
As 0.500 0.904 0.904
Br 0.000 0.615 0.615
Br 0.500 0.318 0.318

First-principles (GGA-PBE) data for crystalline RbSc2GeTe at its relaxed geometry, as listed in the Alexandria database.

Results
For the total DFT energy (no corrections), the calculation gives -2.87 eV/atom. Its formation energy without anion corrections is 7.04 eV/f.u. For the density of states at the Fermi level, the calculation gives 6.3 states/eV per cell. The space-group type is No. 123. For the magnetization, the calculation gives 0.000 μB/f.u.

abc: 5.300 5.300 5.330
angles: 90.00 90.00 90.00
Sites, in units of the cell vectors:
Rb 0.000 0.000 0.000
Sc 0.000 0.500 0.000
Sc 0.500 0.000 0.000
Ge 0.000 0.000 0.500
Te 0.500 0.500 0.500

First-principles (GGA-PBE) data for crystalline LiPb2 at its relaxed geometry, as listed in the Alexandria database.

Results
For the total DFT energy (no corrections), the calculation gives -3.11 eV/atom. The relative energy among the computed polymorphs comes out at 0.169 eV per atom. For the density of states at the Fermi level, the calculation gives 0.9 states/eV per cell. Its formation energy is 0.00 eV per atom. The space-group type is No. 227. For the magnetization, the calculation gives 0.000 μB/f.u.

abc: 6.458 6.458 6.458
angles: 60.00 60.00 60.00
Sites, in units of the cell vectors:
Li 0.125 0.125 0.125
Li 0.875 0.875 0.875
Pb 0.000 0.500 0.500
Pb 0.500 0.000 0.500
Pb 0.500 0.500 0.000
Pb 0.500 0.500 0.500

First-principles (GGA-PBE) data for crystalline HfFeCu2Cl at its relaxed geometry, as listed in the Alexandria database.

Results
For the total DFT energy (no corrections), the calculation gives -4.64 eV/atom. Its formation energy without anion corrections is 5.27 eV/f.u. For the density of states at the Fermi level, the calculation gives 8.2 states/eV per cell. The space-group type is No. 123. For the magnetization, the calculation gives 3.607 μB/f.u.

abc: 5.010 5.010 4.745
angles: 90.00 90.00 90.00
Sites, in units of the cell vectors:
Hf 0.000 0.000 0.000
Fe 0.500 0.500 0.500
Cu 0.000 0.500 0.000
Cu 0.500 0.000 0.000
Cl 0.000 0.000 0.500

Please write out number 4 again, unchanged.
First-principles (GGA-PBE) data for crystalline HfFeCu2Cl at its relaxed geometry, as listed in the Alexandria database.

Results
For the total DFT energy (no corrections), the calculation gives -4.64 eV/atom. Its formation energy without anion corrections is 5.27 eV/f.u. For the density of states at the Fermi level, the calculation gives 8.2 states/eV per cell. The space-group type is No. 123. For the magnetization, the calculation gives 3.607 μB/f.u.

abc: 5.010 5.010 4.745
angles: 90.00 90.00 90.00
Sites, in units of the cell vectors:
Hf 0.000 0.000 0.000
Fe 0.500 0.500 0.500
Cu 0.000 0.500 0.000
Cu 0.500 0.000 0.000
Cl 0.000 0.000 0.500

Repeat the second record exactly.
First-principles (GGA-PBE) data for crystalline RbSc2GeTe at its relaxed geometry, as listed in the Alexandria database.

Results
For the total DFT energy (no corrections), the calculation gives -2.87 eV/atom. Its formation energy without anion corrections is 7.04 eV/f.u. For the density of states at the Fermi level, the calculation gives 6.3 states/eV per cell. The space-group type is No. 123. For the magnetization, the calculation gives 0.000 μB/f.u.

abc: 5.300 5.300 5.330
angles: 90.00 90.00 90.00
Sites, in units of the cell vectors:
Rb 0.000 0.000 0.000
Sc 0.000 0.500 0.000
Sc 0.500 0.000 0.000
Ge 0.000 0.000 0.500
Te 0.500 0.500 0.500

Which of these has the lowest total DFT energy (no corrections)? HfFeCu2Cl

What is the formula in the second record? RbSc2GeTe